No. 1
The following is a PBE calculation of a geometry-optimized ZnCuCl2 structure, from Alexandria.

Results
The distance to the lowest polymorph of the same formula is 0.83 eV/f.u. The calculation puts the energy relative to the elements, uncorrected at -0.23 eV/atom.

Unit cell a=3.448 b=3.524 c=7.311 alpha=90.00 beta=90.96 gamma=90.00
Space group P2/m (No. 10)
Symmetry-distinct sites (fractional):
Zn: 0.000 0.000 0.000 x1
Cu: 0.000 0.000 0.500 x1
Cl: 0.005 0.500 0.720 x2

No. 2
The following is a PBE calculation of a geometry-optimized NaPaTaN4 structure, from Alexandria.

Results
The calculation puts the energy relative to the elements, uncorrected at -0.82 eV/atom.

Unit cell a=3.836 b=3.836 c=12.637 alpha=90.00 beta=90.00 gamma=90.00
Space group I4mm (No. 107)
Symmetry-distinct sites (fractional):
Na: 0.000 0.000 0.000 x2
Pa: 0.000 0.000 0.704 x2
Ta: 0.000 0.000 0.374 x2
N: 0.000 0.000 0.173 x2
N: 0.000 0.000 0.527 x2
N: 0.000 0.500 0.323 x4

No. 3
The following is a PBE calculation of a geometry-optimized Tb3Ga8Rh3 structure, from Alexandria.

Results
The distance to the lowest polymorph of the same formula is 0.00 eV/f.u. The value obtained for the energy of formation from the pure elements is -723 meV/atom.

Unit cell a=15.552 b=4.370 c=8.917 alpha=90.00 beta=122.97 gamma=90.00
Space group C2/m (No. 12)
Symmetry-distinct sites (fractional):
Tb: 0.000 0.000 0.000 x2
Tb: 0.210 0.500 0.696 x4
Ga: 0.006 0.500 0.680 x4
Ga: 0.136 0.000 0.422 x4
Ga: 0.139 0.000 0.844 x4
Ga: 0.150 0.500 0.268 x4
Rh: 0.000 0.000 0.500 x2
Rh: 0.168 0.500 0.004 x4

No. 4
The following is a PBE calculation of a geometry-optimized La6PrTh3 structure, from Alexandria.

Results
The value obtained for the energy of formation from the pure elements is 256 meV/atom.

Unit cell a=10.1552 b=10.1552 c=12.4045 alpha=90.00 beta=90.00 gamma=120.00
Space group R3 (No. 146, hexagonal axes)
Symmetry-distinct sites (fractional):
La: 0.0046 0.3250 0.0000 x9
La: 0.0045 0.6557 0.1693 x9
Pr: 0.0000 0.0000 0.2563 x3
Th: 0.0000 0.0000 0.0129 x3
Th: 0.0000 0.0000 0.5109 x3
Th: 0.0000 0.0000 0.7557 x3

No. 5
The following is a PBE calculation of a geometry-optimized ThMg2CdHg4 structure, from Alexandria.

Results
The value obtained for the energy of formation from the pure elements is -195 meV/atom.

Unit cell a=4.9257 b=4.9257 c=27.3144 alpha=90.00 beta=90.00 gamma=120.00
Space group R-3m (No. 166, hexagonal axes)
Symmetry-distinct sites (fractional):
Th: 0.0000 0.0000 0.0000 x3
Mg: 0.0000 0.0000 0.2450 x6
Cd: 0.0000 0.0000 0.5000 x3
Hg: 0.0000 0.0000 0.1223 x6
Hg: 0.0000 0.0000 0.3859 x6

No. 6
The following is a PBE calculation of a geometry-optimized Zr2CrAu structure, from Alexandria.

Results
The distance to the lowest polymorph of the same formula is 0.51 eV/f.u. The value obtained for the energy of formation from the pure elements is -68 meV/atom.

Unit cell a=6.676 b=6.676 c=6.676 alpha=90.00 beta=90.00 gamma=90.00
Space group Fm-3m (No. 225)
Symmetry-distinct sites (fractional):
Zr: 0.250 0.250 0.250 x8
Cr: 0.000 0.000 0.000 x4
Au: 0.000 0.000 0.500 x4

No. 7
The following is a PBE calculation of a geometry-optimized Sr4Si2I5 structure, from Alexandria.

Results
The calculation puts the energy relative to the elements, uncorrected at -1.16 eV/atom.

Unit cell a=24.638 b=4.635 c=9.032 alpha=90.00 beta=99.12 gamma=90.00
Space group C2/m (No. 12)
Symmetry-distinct sites (fractional):
Sr: 0.020 0.000 0.230 x4
Sr: 0.174 0.500 0.082 x4
Si: 0.044 0.500 0.991 x4
I: 0.000 0.500 0.500 x2
I: 0.155 0.000 0.332 x4
I: 0.190 0.000 0.832 x4

No. 8
The following is a PBE calculation of a geometry-optimized Cs2Ga3Sn4Hg structure, from Alexandria.

Results
The value obtained for the energy of formation from the pure elements is -135 meV/atom.

Unit cell a=5.137 b=5.137 c=11.545 alpha=90.00 beta=90.00 gamma=90.00
Space group P-4m2 (No. 115)
Symmetry-distinct sites (fractional):
Cs: 0.000 0.500 0.246 x2
Ga: 0.000 0.000 0.000 x1
Ga: 0.000 0.500 0.626 x2
Sn: 0.000 0.000 0.500 x1
Sn: 0.000 0.500 0.872 x2
Sn: 0.500 0.500 0.500 x1
Hg: 0.500 0.500 0.000 x1

No. 9
The following is a PBE calculation of a geometry-optimized BaAlZn2Co structure, from Alexandria.

Results
The distance to the lowest polymorph of the same formula is 0.00 eV/f.u. The value obtained for the energy of formation from the pure elements is -180 meV/atom.

Unit cell a=4.833 b=4.833 c=4.610 alpha=90.00 beta=90.00 gamma=90.00
Space group P4/mmm (No. 123)
Symmetry-distinct sites (fractional):
Ba: 0.000 0.000 0.000 x1
Al: 0.500 0.500 0.000 x1
Zn: 0.000 0.500 0.500 x2
Co: 0.500 0.500 0.500 x1

No. 10
The following is a PBE calculation of a geometry-optimized K2NiPb structure, from Alexandria.

Results
The value obtained for the energy of formation from the pure elements is 466 meV/atom.

Unit cell a=4.553 b=4.553 c=11.236 alpha=90.00 beta=90.00 gamma=90.00
Space group I4/mmm (No. 139)
Symmetry-distinct sites (fractional):
K: 0.000 0.500 0.250 x4
Ni: 0.000 0.000 0.000 x2
Pb: 0.000 0.000 0.500 x2

No. 11
The following is a PBE calculation of a geometry-optimized TbPmS structure, from Alexandria.

Results
The calculation puts the energy relative to the elements, uncorrected at -1.27 eV/atom.

Unit cell a=3.8505 b=3.8505 c=6.4540 alpha=90.00 beta=90.00 gamma=120.00
Space group P3m1 (No. 156)
Symmetry-distinct sites (fractional):
Tb: 0.0000 0.0000 0.0000 x1
Pm: 0.6667 0.3333 0.4785 x1
S: 0.3333 0.6667 0.7484 x1

No. 12
The following is a PBE calculation of a geometry-optimized Sm2TeI3 structure, from Alexandria.

Results
The calculation puts the energy relative to the elements, uncorrected at -1.30 eV/atom.

Unit cell a=21.699 b=4.332 c=15.259 alpha=90.00 beta=132.45 gamma=90.00
Space group C2/m (No. 12)
Symmetry-distinct sites (fractional):
Sm: 0.086 0.000 0.456 x4
Sm: 0.143 0.500 0.854 x4
Te: 0.103 0.000 0.678 x4
I: 0.046 0.500 0.267 x4
I: 0.171 0.000 0.031 x4
I: 0.225 0.500 0.608 x4